Computed, not measured: Cd6GaPb2 after structural relaxation at the PBE level of DFT.

a = 3.2780 Å, b = 9.5945 Å, c = 9.5945 Å
α = 53.50°, β = 71.26°, γ = 71.26°
Atoms (fractional coordinates):
Cd 0.6925 0.9771 0.3272
Cd 0.5000 0.3217 0.6783
Cd 0.3075 0.0229 0.6728
Cd 0.3075 0.6728 0.0229
Cd 0.6925 0.3272 0.9771
Cd 0.5000 0.6783 0.3217
Pb 0.8646 0.3142 0.3142
Pb 0.1354 0.6858 0.6858
Ga 0.0000 0.0000 0.0000

Formation energy ... 70 meV/atom
VASP energy ... -1.700 eV per atom